Computed, not measured: a PBEsol-optimized structure of CuHgAu2 at the SCAN level of DFT.

Results
magnetic moment	0.000	μB per cell
formation energy from the elements	60.1	meV/atom

Structure (CIF):
```
data_CuHgAu2
_chemical_formula_sum 'Cu1 Hg1 Au2'
_cell_length_a 3.914
_cell_length_b 4.022
_cell_length_c 4.193
_cell_angle_alpha 90.00
_cell_angle_beta 90.00
_cell_angle_gamma 90.00
_space_group_name_H-M_alt 'P m m m'
_space_group_IT_number 47
loop_
_space_group_symop_operation_xyz
'x,y,z'
'-x,-y,-z'
'-x,-y,z'
'x,y,-z'
'x,-y,-z'
'-x,y,z'
'-x,y,-z'
'x,-y,z'
loop_
_atom_site_label
_atom_site_type_symbol
_atom_site_fract_x
_atom_site_fract_y
_atom_site_fract_z
Cu1 Cu 0.000 0.000 0.000
Hg1 Hg 0.500 0.500 0.000
Au1 Au 0.000 0.500 0.500
Au2 Au 0.500 0.000 0.500
```


Computed, not measured: a PBEsol-optimized structure of Gd3Ni19B10 at the SCAN level of DFT.

Results
magnetic moment	15.882	μB per cell
formation energy from the elements	-417.9	meV/atom

Structure (CIF):
```
data_Gd3Ni19B10
_chemical_formula_sum 'Gd6 Ni38 B20'
_cell_length_a 13.022
_cell_length_b 8.654
_cell_length_c 5.718
_cell_angle_alpha 90.00
_cell_angle_beta 91.42
_cell_angle_gamma 90.00
_space_group_name_H-M_alt 'C 1 2/m 1'
_space_group_IT_number 12
loop_
_space_group_symop_operation_xyz
'x,y,z'
'-x,-y,-z'
'-x,y,-z'
'x,-y,z'
'x+1/2,y+1/2,z'
'-x+1/2,-y+1/2,-z'
'-x+1/2,y+1/2,-z'
'x+1/2,-y+1/2,z'
loop_
_atom_site_label
_atom_site_type_symbol
_atom_site_fract_x
_atom_site_fract_y
_atom_site_fract_z
Gd1 Gd 0.000 0.000 0.000
Gd2 Gd 0.125 0.500 0.389
Ni1 Ni 0.000 0.000 0.500
Ni2 Ni 0.030 0.258 0.699
Ni3 Ni 0.122 0.500 0.875
Ni4 Ni 0.128 0.250 0.074
Ni5 Ni 0.163 0.000 0.701
Ni6 Ni 0.183 0.000 0.270
Ni7 Ni 0.219 0.264 0.699
B1 B 0.000 0.383 0.000
B2 B 0.118 0.181 0.431
B3 B 0.246 0.104 0.974
```


Computed, not measured: a PBEsol-optimized structure of Li2AlTl at the SCAN level of DFT.

Results
magnetic moment	0.010	μB per cell
formation energy from the elements	-208.0	meV/atom

Structure (CIF):
```
data_Li2AlTl
_chemical_formula_sum 'Li2 Al1 Tl1'
_cell_length_a 3.015
_cell_length_b 4.641
_cell_length_c 5.132
_cell_angle_alpha 90.00
_cell_angle_beta 90.00
_cell_angle_gamma 90.00
_space_group_name_H-M_alt 'P m m 2'
_space_group_IT_number 25
loop_
_space_group_symop_operation_xyz
'x,y,z'
'-x,-y,z'
'-x,y,z'
'x,-y,z'
loop_
_atom_site_label
_atom_site_type_symbol
_atom_site_fract_x
_atom_site_fract_y
_atom_site_fract_z
Li1 Li 0.000 0.000 0.000
Li2 Li 0.000 0.500 0.332
Al1 Al 0.500 0.000 0.488
Tl1 Tl 0.500 0.500 0.834
```


Computed, not measured: a PBEsol-optimized structure of AlTcCl at the SCAN level of DFT.

Results
E above lowest polymorph	437.7	meV per atom
magnetic moment	1.279	μB per cell
energy relative to the elements, uncorrected	0.362	eV per atom

Structure (CIF):
```
data_AlTcCl
_chemical_formula_sum 'Al1 Tc1 Cl1'
_cell_length_a 4.2450
_cell_length_b 4.2450
_cell_length_c 2.8532
_cell_angle_alpha 90.00
_cell_angle_beta 90.00
_cell_angle_gamma 120.00
_space_group_name_H-M_alt 'P -6 m 2'
_space_group_IT_number 187
_space_group_name_Hall 'P -6 2'
loop_
_atom_site_label
_atom_site_type_symbol
_atom_site_fract_x
_atom_site_fract_y
_atom_site_fract_z
Al1 Al 0.0000 0.0000 0.0000
Tc1 Tc 0.6667 0.3333 0.5000
Cl1 Cl 0.3333 0.6667 0.5000
```


Computed, not measured: a PBEsol-optimized structure of KCoSe at the SCAN level of DFT.

Results
magnetic moment	8.374	μB per cell
energy relative to the elements, uncorrected	0.152	eV per atom

Structure (CIF):
```
data_KCoSe
_chemical_formula_sum 'K4 Co4 Se4'
_cell_length_a 6.550
_cell_length_b 6.550
_cell_length_c 6.550
_cell_angle_alpha 90.00
_cell_angle_beta 90.00
_cell_angle_gamma 90.00
_space_group_name_H-M_alt 'F -4 3 m'
_space_group_IT_number 216
_space_group_name_Hall 'F -4 2 3'
loop_
_atom_site_label
_atom_site_type_symbol
_atom_site_fract_x
_atom_site_fract_y
_atom_site_fract_z
K1 K 0.000 0.000 0.000
Co1 Co 0.000 0.000 0.500
Se1 Se 0.250 0.250 0.250
```


Computed, not measured: a PBEsol-optimized structure of LaCo2Au at the SCAN level of DFT.

Results
magnetic moment	4.430	μB per cell
formation energy from the elements	131.6	meV/atom

Structure (CIF):
```
data_LaCo2Au
_chemical_formula_sum 'La2 Co4 Au2'
_cell_length_a 3.927
_cell_length_b 3.927
_cell_length_c 8.687
_cell_angle_alpha 90.00
_cell_angle_beta 90.00
_cell_angle_gamma 90.00
_space_group_name_H-M_alt 'I -4 m 2'
_space_group_IT_number 119
_space_group_name_Hall 'I -4 -2'
loop_
_atom_site_label
_atom_site_type_symbol
_atom_site_fract_x
_atom_site_fract_y
_atom_site_fract_z
La1 La 0.000 0.000 0.000
Co1 Co 0.000 0.000 0.500
Co2 Co 0.000 0.500 0.750
Au1 Au 0.000 0.500 0.250
```


Computed, not measured: a PBEsol-optimized structure of SrInIN2 at the SCAN level of DFT.

Results
magnetic moment	1.923	μB per cell
energy relative to the elements, uncorrected	0.471	eV per atom

Structure (CIF):
```
data_SrInIN2
_chemical_formula_sum 'Sr1 In1 I1 N2'
_cell_length_a 4.388
_cell_length_b 4.388
_cell_length_c 5.802
_cell_angle_alpha 90.00
_cell_angle_beta 90.00
_cell_angle_gamma 90.00
_space_group_name_H-M_alt 'P 4/m m m'
_space_group_IT_number 123
_space_group_name_Hall '-P 4 2'
loop_
_atom_site_label
_atom_site_type_symbol
_atom_site_fract_x
_atom_site_fract_y
_atom_site_fract_z
Sr1 Sr 0.000 0.000 0.000
In1 In 0.500 0.500 0.500
I1 I 0.500 0.500 0.000
N1 N 0.000 0.500 0.500
```


Computed, not measured: a PBEsol-optimized structure of CaTlCd2 at the SCAN level of DFT.

Results
E above lowest polymorph	219.2	meV per atom
magnetic moment	0.000	μB per cell
formation energy from the elements	-73.4	meV/atom

Structure (CIF):
```
data_CaTlCd2
_chemical_formula_sum 'Ca3 Tl3 Cd6'
_cell_length_a 3.6257
_cell_length_b 3.6257
_cell_length_c 28.4747
_cell_angle_alpha 90.00
_cell_angle_beta 90.00
_cell_angle_gamma 120.00
_space_group_name_H-M_alt 'R -3 m'
_space_group_IT_number 166
_space_group_name_Hall '-R 3 2"'
loop_
_atom_site_label
_atom_site_type_symbol
_atom_site_fract_x
_atom_site_fract_y
_atom_site_fract_z
Ca1 Ca 0.0000 0.0000 0.0000
Tl1 Tl 0.0000 0.0000 0.5000
Cd1 Cd 0.0000 0.0000 0.2472
```


Computed, not measured: a PBEsol-optimized structure of Y4PBr at the SCAN level of DFT.

Results
magnetic moment	0.008	μB per cell
energy relative to the elements, uncorrected	0.278	eV per atom

Structure (CIF):
```
data_Y4PBr
_chemical_formula_sum 'Y16 P4 Br4'
_cell_length_a 8.616
_cell_length_b 8.616
_cell_length_c 8.616
_cell_angle_alpha 90.00
_cell_angle_beta 90.00
_cell_angle_gamma 90.00
_space_group_name_H-M_alt 'F -4 3 m'
_space_group_IT_number 216
_space_group_name_Hall 'F -4 2 3'
loop_
_atom_site_label
_atom_site_type_symbol
_atom_site_fract_x
_atom_site_fract_y
_atom_site_fract_z
Y1 Y 0.124 0.124 0.376
P1 P 0.250 0.250 0.750
Br1 Br 0.000 0.000 0.000
```


Computed, not measured: a PBEsol-optimized structure of Mg2TlCd at the SCAN level of DFT.

Results
magnetic moment	0.000	μB per cell
formation energy from the elements	-103.6	meV/atom

Structure (CIF):
```
data_Mg2TlCd
_chemical_formula_sum 'Mg6 Tl3 Cd3'
_cell_length_a 3.3496
_cell_length_b 3.3496
_cell_length_c 28.1369
_cell_angle_alpha 90.00
_cell_angle_beta 90.00
_cell_angle_gamma 120.00
_space_group_name_H-M_alt 'R -3 m'
_space_group_IT_number 166
_space_group_name_Hall '-R 3 2"'
loop_
_atom_site_label
_atom_site_type_symbol
_atom_site_fract_x
_atom_site_fract_y
_atom_site_fract_z
Mg1 Mg 0.0000 0.0000 0.2479
Tl1 Tl 0.0000 0.0000 0.0000
Cd1 Cd 0.0000 0.0000 0.5000
```


Computed, not measured: a PBEsol-optimized structure of IrOs3 at the SCAN level of DFT.

Results
magnetic moment	2.206	μB per cell
formation energy from the elements	630.5	meV/atom

Structure (CIF):
```
data_IrOs3
_chemical_formula_sum 'Ir1 Os3'
_cell_length_a 3.281
_cell_length_b 3.281
_cell_length_c 5.390
_cell_angle_alpha 90.00
_cell_angle_beta 90.00
_cell_angle_gamma 90.00
_space_group_name_H-M_alt 'P 4/m m m'
_space_group_IT_number 123
_space_group_name_Hall '-P 4 2'
loop_
_atom_site_label
_atom_site_type_symbol
_atom_site_fract_x
_atom_site_fract_y
_atom_site_fract_z
Ir1 Ir 0.000 0.000 0.000
Os1 Os 0.000 0.000 0.500
Os2 Os 0.500 0.500 0.249
```


Computed, not measured: a PBEsol-optimized structure of Ta2H at the SCAN level of DFT.

Results
E above lowest polymorph	32.4	meV per atom
magnetic moment	0.000	μB per cell

Structure (CIF):
```
data_Ta2H
_chemical_formula_sum 'Ta2 H1'
_cell_length_a 3.349
_cell_length_b 3.349
_cell_length_c 3.376
_cell_angle_alpha 90.00
_cell_angle_beta 90.00
_cell_angle_gamma 90.00
_space_group_name_H-M_alt 'P -4 m 2'
_space_group_IT_number 115
loop_
_space_group_symop_operation_xyz
'x,y,z'
'y,-x,-z'
'-x,-y,z'
'-y,x,-z'
'-x,y,z'
'-y,-x,-z'
'x,-y,z'
'y,x,-z'
loop_
_atom_site_label
_atom_site_type_symbol
_atom_site_fract_x
_atom_site_fract_y
_atom_site_fract_z
Ta1 Ta 0.000 0.500 0.240
H1 H 0.500 0.500 0.500
```


Computed, not measured: a PBEsol-optimized structure of SrNiRh2 at the SCAN level of DFT.

Results
magnetic moment	7.718	μB per cell
formation energy from the elements	411.0	meV/atom

Structure (CIF):
```
data_SrNiRh2
_chemical_formula_sum 'Sr4 Ni4 Rh8'
_cell_length_a 6.389
_cell_length_b 6.389
_cell_length_c 6.389
_cell_angle_alpha 90.00
_cell_angle_beta 90.00
_cell_angle_gamma 90.00
_space_group_name_H-M_alt 'F m -3 m'
_space_group_IT_number 225
_space_group_name_Hall '-F 4 2 3'
loop_
_atom_site_label
_atom_site_type_symbol
_atom_site_fract_x
_atom_site_fract_y
_atom_site_fract_z
Sr1 Sr 0.000 0.000 0.000
Ni1 Ni 0.000 0.000 0.500
Rh1 Rh 0.250 0.250 0.250
```